No. 1
A relaxed structure of RbLiPr, computed with PBE.

Cell lengths 5.701, 5.701, 5.701 Å; angles 60.00, 60.00, 60.00 degrees
Site moments in Bohr magnetons follow the coordinates.
Sites, in units of the cell vectors:
1 Li 0.000 0.000 0.000  0.02
2 Pr 0.250 0.250 0.250  0.20
3 Rb 0.750 0.750 0.750  0.01

Its electronic total energy is -1.79 eV per atom. As for the space group: F-43m. The calculation puts the size of the total moment at 0.1992 μB per atom.

---

No. 2
A relaxed structure of LaZr2F11, computed with PBE.

Cell lengths 8.328, 8.328, 8.328 Å; angles 124.54, 105.87, 99.18 degrees
Sites, in units of the cell vectors:
1 F 0.281 0.132 0.414
2 F 0.453 0.539 0.705
3 Zr 0.820 0.631 0.451
4 F 0.201 0.369 0.309
5 F 0.666 0.961 0.914
6 F 0.219 0.632 0.851
7 F 0.059 0.892 0.691
8 F 0.941 0.108 0.309
9 La 0.250 0.250 0.000
10 F 0.334 0.039 0.086
11 La 0.750 0.750 0.000
12 F 0.166 0.253 0.705
13 F 0.500 0.000 0.500
14 F 0.701 0.392 0.832
15 F 0.441 0.131 0.832
16 F 0.559 0.869 0.168
17 F 0.799 0.631 0.691
18 F 0.953 0.247 0.914
19 Zr 0.180 0.369 0.549
20 F 0.781 0.368 0.149
21 F 0.547 0.461 0.295
22 Zr 0.320 0.869 0.189
23 F 0.047 0.753 0.086
24 F 0.719 0.868 0.586
25 F 0.299 0.608 0.168
26 F 0.834 0.747 0.295
27 Zr 0.680 0.131 0.811
28 F 0.000 0.500 0.500

Its electronic total energy is -6.86 eV per atom. As for the space group: Ibam. The calculation puts the size of the total moment at 0.0000 μB per atom.

---

No. 3
A relaxed structure of DyTlGe, computed with PBE.

Cell lengths 4.942, 4.942, 4.942 Å; angles 60.00, 60.00, 60.00 degrees
Sites, in units of the cell vectors:
1 Ge 0.750 0.750 0.750
2 Dy 0.250 0.250 0.250
3 Tl 0.000 0.000 0.000

Its electronic total energy is -3.80 eV per atom. As for the space group: F-43m. The calculation puts the size of the total moment at 0.0006 μB per atom.

---

No. 4
A relaxed structure of NaAgTePt, computed with PBE.

Cell lengths 4.812, 4.812, 4.812 Å; angles 60.00, 60.00, 60.00 degrees
Sites, in units of the cell vectors:
1 Ag 0.500 0.500 0.500
2 Pt 0.250 0.250 0.250
3 Na 0.750 0.750 0.750
4 Te 0.000 0.000 0.000

Its electronic total energy is -3.48 eV per atom. As for the space group: F-43m. The calculation puts the size of the total moment at 0.0000 μB per atom.

---

No. 5
A relaxed structure of BaNaPr, computed with PBE.

Cell lengths 5.851, 5.851, 5.851 Å; angles 60.00, 60.00, 60.00 degrees
Sites, in units of the cell vectors:
1 Na 0.750 0.750 0.750
2 Pr 0.000 0.000 0.000
3 Ba 0.250 0.250 0.250

Its electronic total energy is -1.94 eV per atom. As for the space group: F-43m. The calculation puts the size of the total moment at 0.0310 μB per atom.

---

No. 6
A relaxed structure of PmScSn, computed with PBE.

Cell lengths 5.064, 5.064, 5.064 Å; angles 60.00, 60.00, 60.00 degrees
Sites, in units of the cell vectors:
1 Pm 0.250 0.250 0.250
2 Sn 0.000 0.000 0.000
3 Sc 0.750 0.750 0.750

Its electronic total energy is -5.39 eV per atom. As for the space group: F-43m. The calculation puts the size of the total moment at 0.0163 μB per atom.